This record from Alexandria via LeMat-Bulk describes crystalline Zn10Ag6Pd at its relaxed geometry. The functional is PBE.

```
17
Lattice="-0.8137 3.4834 -3.9235 -6.3268 -3.9318 -2.1786 -0.5906 5.7257 5.2058" Properties=species:S:1:pos:R:3 pbc="T T T"
Zn -4.8216 1.0290 -1.6789
Zn -4.8187 -2.2410 -2.3476
Zn -1.9706 1.1292 0.0539
Zn -4.4147 -0.7126 0.2829
Zn -0.5892 4.8799 3.0973
Zn -2.9095 4.2482 0.7826
Zn -2.5027 2.5065 2.7444
Zn -2.3217 1.7926 -3.7545
Zn -5.7605 4.1480 -0.9502
Zn -0.8151 4.3292 -1.8150
Ag -3.1956 3.1495 -1.6366
Ag -2.6316 -0.4754 -1.9657
Ag -4.5089 0.0270 -4.1364
Ag -4.5355 2.1278 0.7403
Ag -0.4602 3.1804 0.8297
Ag -0.9441 6.0286 0.4526
Pd -0.4069 1.7417 -1.9618
```

Results
- total magnetization (μB per formula unit) = 0.00
- ΔE_f (eV per formula unit) = -0.655

---

This record from Alexandria via LeMat-Bulk describes crystalline ZnAg3Pd at its relaxed geometry. The functional is PBE.

```
5
Lattice="-2.0811 -0.9733 -4.5266 -4.4483 -0.9567 2.2508 -1.2846 4.8894 -0.4607" Properties=species:S:1:pos:R:3 pbc="T T T"
Ag -2.2241 -0.4783 1.1254
Ag -1.0405 -0.4866 -2.2633
Ag -0.6423 2.4447 -0.2303
Zn -3.9070 1.4797 -1.3682
Pd 0.0000 0.0000 0.0000
```

Results
- total magnetization (μB per formula unit) = 0.00
- ΔE_f (eV per formula unit) = 3.781

---

This record from Alexandria via LeMat-Bulk describes crystalline ZnAgPd14 at its relaxed geometry. The functional is PBE.

```
16
Lattice="-2.4679 4.7343 1.5913 -1.0981 -4.7606 2.6771 6.9292 1.6628 5.7992" Properties=species:S:1:pos:R:3 pbc="T T T"
Pd 2.3481 2.4120 7.3971
Pd 1.0743 -1.1887 6.3350
Pd 4.1160 2.4251 5.2809
Pd -0.5748 3.9555 3.1680
Pd -1.3860 -2.7652 2.4489
Pd 2.9122 4.7922 6.0864
Pd 0.6727 1.5988 2.3990
Pd 0.1470 -0.7635 3.7419
Pd 3.5547 0.0542 6.5939
Pd -2.0700 1.9765 1.9067
Pd -1.0953 1.5857 4.5152
Pd -0.8386 -0.3874 1.1131
Pd -2.6175 -0.4005 3.2424
Pd 2.8661 -1.1754 4.1901
Ag 2.3131 -3.5590 5.5344
Zn 1.6257 1.2057 4.9895
```

Results
- total magnetization (μB per formula unit) = 0.00
- ΔE_f (eV per formula unit) = -1.047